#P
This record from Alexandria via LeMat-Bulk describes a relaxed structure of OsPt2Rh4. The functional is GGA-PBE.

Properties
* symmetry: Cmcm, No. 63
* DOS(E_F): 17.36 states/eV/cell

a = 2.718 Å, b = 6.345 Å, c = 12.942 Å
α = 90.00°, β = 90.00°, γ = 102.37°
Fractional coordinates of all 14 atoms:
Pt (0.137, 0.274, 0.126)
Pt (0.863, 0.726, 0.626)
Pt (0.137, 0.274, 0.374)
Pt (0.863, 0.726, 0.874)
Rh (0.828, 0.656, 0.079)
Rh (0.500, 0.000, 0.500)
Rh (0.828, 0.656, 0.421)
Rh (0.971, 0.942, 0.250)
Rh (0.029, 0.058, 0.750)
Rh (0.172, 0.344, 0.921)
Rh (0.172, 0.344, 0.579)
Rh (0.500, 0.000, 0.000)
Os (0.701, 0.403, 0.750)
Os (0.299, 0.597, 0.250)



#Q
This record from Alexandria via LeMat-Bulk describes a relaxed structure of OsPt2Rh4. The functional is GGA-PBE.

Properties
* symmetry: R-3m, No. 166
* DOS(E_F): 9.44 states/eV/cell

a = 2.722 Å, b = 2.722 Å, c = 16.459 Å
α = 85.26°, β = 85.26°, γ = 60.00°
Fractional coordinates of all 7 atoms:
Rh (0.144, 0.144, 0.567)
Rh (0.856, 0.856, 0.433)
Rh (0.711, 0.711, 0.868)
Rh (0.289, 0.289, 0.132)
Os (0.000, 0.000, 0.000)
Pt (0.236, 0.236, 0.291)
Pt (0.764, 0.764, 0.709)



Least stable: #P